# 1
Na3LaDy2S6: relaxed, PBE.

abc: 7.045 7.045 7.079
angles: 99.56 99.56 120.01
Sites, in units of the cell vectors:
1 Na 0.167 0.833 0.500
2 Na 0.833 0.167 0.500
3 Na 0.500 0.500 0.500
4 La 0.000 0.000 0.000
5 Dy 0.333 0.667 0.000
6 Dy 0.667 0.333 0.000
7 S 0.924 0.578 0.772
8 S 0.731 0.731 0.230
9 S 0.076 0.422 0.228
10 S 0.578 0.924 0.772
11 S 0.269 0.269 0.770
12 S 0.422 0.076 0.228

Output
E in eV/atom: -5.42
Symmetry: C2/m, No. 12
Crystal system: monoclinic
ΔE_f (raw) in eV per atom: -1.846
Total moment in μB/f.u.: 0.00

***

# 2
CuAgCF2: relaxed, PBE.

abc: 4.407 3.962 4.407
angles: 90.00 90.00 90.00
Each line ends with the local moment (μB).
Sites, in units of the cell vectors:
1 C 0.000 0.500 0.000  0.28
2 Cu 0.500 0.500 0.500  0.01
3 Ag 0.000 0.000 0.000  0.01
4 F 0.000 0.000 0.500  0.03
5 F 0.500 0.000 0.000  0.03

Output
E in eV/atom: -3.28
Symmetry: P4/mmm, No. 123
Crystal system: tetragonal
ΔE_f (raw) in eV per atom: 0.701
Total moment in μB/f.u.: 0.64

***

# 3
HgTe2: relaxed, PBE.

abc: 5.936 5.936 5.900
angles: 90.00 90.00 120.88
Sites, in units of the cell vectors:
1 Hg 0.250 0.250 0.250
2 Hg 0.750 0.750 0.750
3 Te 0.889 0.611 0.250
4 Te 0.111 0.389 0.750
5 Te 0.611 0.889 0.250
6 Te 0.389 0.111 0.750

Output
E in eV/atom: -1.96
Symmetry: Fmmm, No. 69
Crystal system: orthorhombic
ΔE_f (raw) in eV per atom: 0.231
Total moment in μB/f.u.: 0.00
Energy above the lowest structure with this stoichiometry in eV per atom: 0.208